# 1
This record from Alexandria via LeMat-Bulk describes ScAlPb3 after structural relaxation. The functional is PBE-GGA.

Results
- Volume: 175 Å³/f.u.
- VASP energy: -0.2767 Ry per atom

a b c (Å): 5.595 5.595 5.595
angles (deg): 90.00 90.00 90.00
Fractional positions:
Sc: 0.000 0.000 0.000
Al: 0.500 0.500 0.500
Pb: 0.000 0.000 0.500
Pb: 0.000 0.500 0.000
Pb: 0.500 0.000 0.000


# 2
This record from Alexandria via LeMat-Bulk describes Sc2Al2Pb after structural relaxation. The functional is PBE-GGA.

Results
- Volume: 112 Å³/f.u.
- Polymorph energy (0 for the lowest one): 172 meV per atom
- VASP energy: -0.3589 Ry per atom

a b c (Å): 8.149 8.149 3.381
angles (deg): 90.00 90.00 90.00
Fractional positions:
Sc: 0.132 0.368 0.000
Sc: 0.368 0.868 0.000
Sc: 0.632 0.132 0.000
Sc: 0.868 0.632 0.000
Al: 0.171 0.671 0.500
Al: 0.329 0.171 0.500
Al: 0.671 0.829 0.500
Al: 0.829 0.329 0.500
Pb: 0.000 0.000 0.000
Pb: 0.500 0.500 0.000


# 3
This record from Alexandria via LeMat-Bulk describes Sc2Al2Pb after structural relaxation. The functional is PBE-GGA.

Results
- Volume: 124 Å³/f.u.
- Polymorph energy (0 for the lowest one): 370 meV per atom
- VASP energy: -0.3443 Ry per atom

a b c (Å): 6.873 6.873 6.873
angles (deg): 141.63 141.63 55.39
Fractional positions:
Sc: 0.250 0.750 0.500
Sc: 0.750 0.250 0.500
Al: 0.103 0.103 0.000
Al: 0.897 0.897 0.000
Pb: 0.500 0.500 0.000


# 4
This record from Alexandria via LeMat-Bulk describes Sc2AlPb after structural relaxation. The functional is PBE-GGA.

Results
- Volume: 93 Å³/f.u.
- VASP energy: -0.3754 Ry per atom

a b c (Å): 3.493 3.493 7.639
angles (deg): 90.00 90.00 90.00
Fractional positions:
Sc: 0.000 0.000 0.000
Sc: 0.500 0.500 0.263
Al: 0.000 0.000 0.471
Pb: 0.500 0.500 0.720


Number 2 is which compound? Sc2Al2Pb


What is the formula in the first record? ScAlPb3


The lowest volume belongs to which entry? Sc2AlPb